Arrangement P

A plane-wave DFT calculation with GGA-PBE was carried out for a relaxed structure of LiScZnBi.

```
data_LiScZnBi
_cell_length_a 6.944
_cell_length_b 6.944
_cell_length_c 6.944
_cell_angle_alpha 90.00
_cell_angle_beta 90.00
_cell_angle_gamma 90.00
_space_group_name_H-M_alt 'F -4 3 m'
_space_group_IT_number 216
_space_group_name_Hall 'F -4 2 3'
loop_
_atom_site_label
_atom_site_fract_x
_atom_site_fract_y
_atom_site_fract_z
_atom_site_occupancy
Li1 0.000 0.000 0.000 1
Sc1 0.000 0.000 0.500 1
Zn1 0.250 0.250 0.750 1
Bi1 0.250 0.250 0.250 1
```

Computed properties:
- total magnetic moment (μB/cell) = 0.03


Arrangement Q

A plane-wave DFT calculation with GGA-PBE was carried out for a relaxed structure of LiScZnBi.

```
data_LiScZnBi
_cell_length_a 6.937
_cell_length_b 6.937
_cell_length_c 6.937
_cell_angle_alpha 90.00
_cell_angle_beta 90.00
_cell_angle_gamma 90.00
_space_group_name_H-M_alt 'F -4 3 m'
_space_group_IT_number 216
_space_group_name_Hall 'F -4 2 3'
loop_
_atom_site_label
_atom_site_fract_x
_atom_site_fract_y
_atom_site_fract_z
_atom_site_occupancy
Li1 0.000 0.000 0.000 1
Sc1 0.250 0.250 0.250 1
Zn1 0.000 0.000 0.500 1
Bi1 0.250 0.250 0.750 1
```

Computed properties:
- total magnetic moment (μB/cell) = 0.01


Most favorable structure: arrangement P. The second most favorable one is 0.171 eV/atom above it.


Arrangement P

A plane-wave DFT calculation with GGA-PBE was carried out for a relaxed structure of LiTaBi.

```
data_LiTaBi
_cell_length_a 6.340
_cell_length_b 6.340
_cell_length_c 6.340
_cell_angle_alpha 90.00
_cell_angle_beta 90.00
_cell_angle_gamma 90.00
_space_group_name_H-M_alt 'F -4 3 m'
_space_group_IT_number 216
_space_group_name_Hall 'F -4 2 3'
loop_
_atom_site_label
_atom_site_fract_x
_atom_site_fract_y
_atom_site_fract_z
_atom_site_occupancy
Li1 0.000 0.000 0.000 1
Ta1 0.250 0.250 0.250 1
Bi1 0.250 0.250 0.750 1
```

Computed properties:
- total magnetic moment (μB/cell) = 9.43


Arrangement Q

A plane-wave DFT calculation with GGA-PBE was carried out for a relaxed structure of LiTaBi.

```
data_LiTaBi
_cell_length_a 6.669
_cell_length_b 6.669
_cell_length_c 6.669
_cell_angle_alpha 90.00
_cell_angle_beta 90.00
_cell_angle_gamma 90.00
_space_group_name_H-M_alt 'F -4 3 m'
_space_group_IT_number 216
_space_group_name_Hall 'F -4 2 3'
loop_
_atom_site_label
_atom_site_fract_x
_atom_site_fract_y
_atom_site_fract_z
_atom_site_occupancy
Li1 0.000 0.000 0.000 1
Ta1 0.250 0.250 0.750 1
Bi1 0.000 0.000 0.500 1
```

Computed properties:
- total magnetic moment (μB/cell) = 7.14


Most favorable structure: arrangement P. The second most favorable one is 0.018 eV/atom above it.


Arrangement P

A plane-wave DFT calculation with GGA-PBE was carried out for a relaxed structure of LiTaTcBi.

```
data_LiTaTcBi
_cell_length_a 6.534
_cell_length_b 6.534
_cell_length_c 6.534
_cell_angle_alpha 90.00
_cell_angle_beta 90.00
_cell_angle_gamma 90.00
_space_group_name_H-M_alt 'F -4 3 m'
_space_group_IT_number 216
_space_group_name_Hall 'F -4 2 3'
loop_
_atom_site_label
_atom_site_fract_x
_atom_site_fract_y
_atom_site_fract_z
_atom_site_occupancy
Li1 0.000 0.000 0.000 1
Ta1 0.250 0.250 0.750 1
Tc1 0.250 0.250 0.250 1
Bi1 0.000 0.000 0.500 1
```

Computed properties:
- total magnetic moment (μB/cell) = 0.01


Arrangement Q

A plane-wave DFT calculation with GGA-PBE was carried out for a relaxed structure of LiTaTcBi.

```
data_LiTaTcBi
_cell_length_a 6.489
_cell_length_b 6.489
_cell_length_c 6.489
_cell_angle_alpha 90.00
_cell_angle_beta 90.00
_cell_angle_gamma 90.00
_space_group_name_H-M_alt 'F -4 3 m'
_space_group_IT_number 216
_space_group_name_Hall 'F -4 2 3'
loop_
_atom_site_label
_atom_site_fract_x
_atom_site_fract_y
_atom_site_fract_z
_atom_site_occupancy
Li1 0.000 0.000 0.000 1
Ta1 0.250 0.250 0.750 1
Tc1 0.000 0.000 0.500 1
Bi1 0.250 0.250 0.250 1
```

Computed properties:
- total magnetic moment (μB/cell) = 0.00


Most favorable structure: arrangement Q. The second most favorable one is 0.601 eV/atom above it.


Arrangement P

A plane-wave DFT calculation with GGA-PBE was carried out for a relaxed structure of LiBiTeW.

```
data_LiBiTeW
_cell_length_a 7.010
_cell_length_b 7.010
_cell_length_c 7.010
_cell_angle_alpha 90.00
_cell_angle_beta 90.00
_cell_angle_gamma 90.00
_space_group_name_H-M_alt 'F -4 3 m'
_space_group_IT_number 216
_space_group_name_Hall 'F -4 2 3'
loop_
_atom_site_label
_atom_site_fract_x
_atom_site_fract_y
_atom_site_fract_z
_atom_site_occupancy
Li1 0.000 0.000 0.000 1
Bi1 0.250 0.250 0.250 1
Te1 0.000 0.000 0.500 1
W1 0.250 0.250 0.750 1
```

Computed properties:
- total magnetic moment (μB/cell) = 7.39


Arrangement Q

A plane-wave DFT calculation with GGA-PBE was carried out for a relaxed structure of LiBiTeW.

```
data_LiBiTeW
_cell_length_a 6.897
_cell_length_b 6.897
_cell_length_c 6.897
_cell_angle_alpha 90.00
_cell_angle_beta 90.00
_cell_angle_gamma 90.00
_space_group_name_H-M_alt 'F -4 3 m'
_space_group_IT_number 216
_space_group_name_Hall 'F -4 2 3'
loop_
_atom_site_label
_atom_site_fract_x
_atom_site_fract_y
_atom_site_fract_z
_atom_site_occupancy
Li1 0.000 0.000 0.000 1
Bi1 0.250 0.250 0.750 1
Te1 0.250 0.250 0.250 1
W1 0.000 0.000 0.500 1
```

Computed properties:
- total magnetic moment (μB/cell) = 3.65


Most favorable structure: arrangement Q. The second most favorable one is 0.514 eV/atom above it.


Arrangement P

A plane-wave DFT calculation with GGA-PBE was carried out for a relaxed structure of LuMgNiBi.

```
data_LuMgNiBi
_cell_length_a 6.982
_cell_length_b 6.982
_cell_length_c 6.982
_cell_angle_alpha 90.00
_cell_angle_beta 90.00
_cell_angle_gamma 90.00
_space_group_name_H-M_alt 'F -4 3 m'
_space_group_IT_number 216
_space_group_name_Hall 'F -4 2 3'
loop_
_atom_site_label
_atom_site_fract_x
_atom_site_fract_y
_atom_site_fract_z
_atom_site_occupancy
Lu1 0.000 0.000 0.000 1
Mg1 0.250 0.250 0.250 1
Ni1 0.250 0.250 0.750 1
Bi1 0.000 0.000 0.500 1
```

Computed properties:
- total magnetic moment (μB/cell) = 0.01


Arrangement Q

A plane-wave DFT calculation with GGA-PBE was carried out for a relaxed structure of LuMgNiBi.

```
data_LuMgNiBi
_cell_length_a 6.998
_cell_length_b 6.998
_cell_length_c 6.998
_cell_angle_alpha 90.00
_cell_angle_beta 90.00
_cell_angle_gamma 90.00
_space_group_name_H-M_alt 'F -4 3 m'
_space_group_IT_number 216
_space_group_name_Hall 'F -4 2 3'
loop_
_atom_site_label
_atom_site_fract_x
_atom_site_fract_y
_atom_site_fract_z
_atom_site_occupancy
Lu1 0.000 0.000 0.000 1
Mg1 0.250 0.250 0.750 1
Ni1 0.000 0.000 0.500 1
Bi1 0.250 0.250 0.250 1
```

Computed properties:
- total magnetic moment (μB/cell) = 0.01


Most favorable structure: arrangement P. The second most favorable one is 0.061 eV/atom above it.


Arrangement P

A plane-wave DFT calculation with GGA-PBE was carried out for a relaxed structure of LuBiNO.

```
data_LuBiNO
_cell_length_a 3.710
_cell_length_b 6.600
_cell_length_c 6.318
_cell_angle_alpha 90.00
_cell_angle_beta 90.00
_cell_angle_gamma 90.00
_space_group_name_H-M_alt 'P m c 21'
_space_group_IT_number 26
loop_
_space_group_symop_operation_xyz
'x,y,z'
'-x,-y,z+1/2'
'-x,y,z'
'x,-y,z+1/2'
loop_
_atom_site_label
_atom_site_fract_x
_atom_site_fract_y
_atom_site_fract_z
_atom_site_occupancy
Lu1 0.000 0.180 0.000 1
Bi1 0.500 0.332 0.568 1
N1 0.500 0.356 0.936 1
O1 0.000 0.062 0.299 1
```

Computed properties:
- total magnetic moment (μB/cell) = 0.00


Arrangement Q

A plane-wave DFT calculation with GGA-PBE was carried out for a relaxed structure of LuBiNO.

```
data_LuBiNO
_cell_length_a 4.414
_cell_length_b 4.414
_cell_length_c 7.826
_cell_angle_alpha 90.00
_cell_angle_beta 90.00
_cell_angle_gamma 90.00
_space_group_name_H-M_alt 'P 4/n m m'
_space_group_IT_number 129
loop_
_space_group_symop_operation_xyz
'x,y,z'
'-x,-y,-z'
'-y+1/2,x,z'
'y+1/2,-x,-z'
'-x+1/2,-y+1/2,z'
'x+1/2,y+1/2,-z'
'y,-x+1/2,z'
'-y,x+1/2,-z'
'x+1/2,-y,-z'
'-x+1/2,y,z'
'-y,-x,-z'
'y,x,z'
'-x,y+1/2,-z'
'x,-y+1/2,z'
'y+1/2,x+1/2,-z'
'-y+1/2,-x+1/2,z'
loop_
_atom_site_label
_atom_site_fract_x
_atom_site_fract_y
_atom_site_fract_z
_atom_site_occupancy
Lu1 0.250 0.750 0.000 1
Bi1 0.250 0.250 0.385 1
N1 0.250 0.250 0.937 1
O1 0.250 0.750 0.500 1
```

Computed properties:
- total magnetic moment (μB/cell) = 0.01


Most favorable structure: arrangement P. The second most favorable one is 0.489 eV/atom above it.